#P
PmHo2Er3, optimized geometry, DFT PBE; crystal system = monoclinic; symmetry = C2/m, No. 12; DOS at the Fermi energy = 9.7 states/eV/f.u.
1.0
10.923 -1.809 0.000
10.923 1.809 0.000
-5.752 0.000 9.625
Pm Ho Er
2 4 6
Direct
0.111 0.111 0.486
0.889 0.889 0.514
0.223 0.223 0.849
0.444 0.444 0.315
0.556 0.556 0.685
0.777 0.777 0.151
0.111 0.111 0.987
0.221 0.221 0.345
0.445 0.445 0.823
0.555 0.555 0.177
0.779 0.779 0.655
0.889 0.889 0.013

***

#Q
PmHo2Er3, optimized geometry, DFT PBE; crystal system = monoclinic; symmetry = C2/c, No. 15; DOS at the Fermi energy = 8.4 states/eV/f.u.
1.0
8.662 -3.534 0.000
8.662 3.534 0.000
-0.006 0.000 6.119
Pm Ho Er
2 4 6
Direct
0.126 0.874 0.750
0.874 0.126 0.250
0.208 0.457 0.582
0.457 0.208 0.082
0.543 0.792 0.918
0.792 0.543 0.418
0.043 0.293 0.916
0.293 0.043 0.416
0.376 0.624 0.250
0.624 0.376 0.750
0.707 0.957 0.584
0.957 0.707 0.084

***

Which structure wins on stability? #P wins.

***

#P
PmHo2Er9, optimized geometry, DFT PBE; crystal system = hexagonal; symmetry = P6/mmm, No. 191; DOS at the Fermi energy = 16.9 states/eV/f.u.
1.0
11.125 0.000 0.000
-5.562 9.634 0.000
0.000 0.000 3.487
Pm Ho Er
1 2 9
Direct
0.000 0.000 0.000
0.333 0.667 0.000
0.667 0.333 0.000
0.000 0.500 0.000
0.178 0.356 0.500
0.178 0.822 0.500
0.356 0.178 0.500
0.500 0.000 0.000
0.500 0.500 0.000
0.644 0.822 0.500
0.822 0.178 0.500
0.822 0.644 0.500

***

#Q
PmHo2Er9, optimized geometry, DFT PBE; crystal system = tetragonal; symmetry = P4/mmm, No. 123; DOS at the Fermi energy = 17.1 states/eV/f.u.
1.0
4.979 0.000 0.000
0.000 4.979 0.000
0.000 0.000 14.941
Pm Ho Er
1 2 9
Direct
0.000 0.000 0.000
0.000 0.000 0.334
0.000 0.000 0.666
0.000 0.500 0.168
0.000 0.500 0.500
0.000 0.500 0.832
0.500 0.000 0.168
0.500 0.000 0.500
0.500 0.000 0.832
0.500 0.500 0.000
0.500 0.500 0.335
0.500 0.500 0.665

***

Which structure wins on stability? #Q wins.

***

#P
Pm3HoEr4, optimized geometry, DFT PBE; crystal system = triclinic; symmetry = P-1, No. 2; DOS at the Fermi energy = 12.1 states/eV/f.u.
1.0
3.602 0.000 0.000
-0.004 5.382 0.000
-1.785 -2.640 13.618
Pm Ho Er
3 1 4
Direct
0.000 0.000 0.000
0.149 0.652 0.300
0.851 0.348 0.700
0.500 0.500 0.000
0.281 0.780 0.561
0.401 0.897 0.799
0.599 0.103 0.201
0.719 0.220 0.439

***

#Q
Pm3HoEr4, optimized geometry, DFT PBE; crystal system = orthorhombic; symmetry = Pmn2_1, No. 31; DOS at the Fermi energy = 14.1 states/eV/f.u.
1.0
11.351 0.000 0.000
0.000 7.280 0.000
0.000 0.000 6.277
Pm Ho Er
6 2 8
Direct
0.000 0.127 0.000
0.250 0.127 0.334
0.250 0.873 0.834
0.500 0.873 0.500
0.750 0.127 0.334
0.750 0.873 0.834
0.000 0.871 0.499
0.500 0.129 0.999
0.000 0.377 0.501
0.000 0.621 0.000
0.248 0.622 0.333
0.252 0.378 0.833
0.500 0.379 0.500
0.500 0.623 0.001
0.748 0.378 0.833
0.752 0.622 0.333

***

Which structure wins on stability? #Q wins.

***

#P
PmHo6Er3, optimized geometry, DFT PBE; crystal system = trigonal; symmetry = R3, No. 146; DOS at the Fermi energy = 20.4 states/eV/f.u.
1.0
4.868 2.811 3.898
-4.868 2.811 3.898
0.000 -5.621 3.898
Pm Ho Er
1 6 3
Direct
0.000 0.000 0.000
0.009 0.338 0.670
0.173 0.837 0.510
0.338 0.670 0.009
0.510 0.173 0.837
0.670 0.009 0.338
0.837 0.510 0.173
0.247 0.247 0.247
0.498 0.498 0.498
0.742 0.742 0.742

***

#Q
PmHo6Er3, optimized geometry, DFT PBE; crystal system = orthorhombic; symmetry = Cmc2_1, No. 36; DOS at the Fermi energy = 13.8 states/eV/f.u.
1.0
5.472 -9.416 0.000
5.472 9.416 0.000
0.000 0.000 6.155
Pm Ho Er
2 12 6
Direct
0.207 0.793 0.500
0.793 0.207 0.000
0.038 0.459 0.292
0.047 0.953 0.739
0.285 0.715 0.013
0.289 0.381 0.124
0.381 0.289 0.624
0.459 0.038 0.792
0.541 0.962 0.292
0.619 0.711 0.124
0.711 0.619 0.624
0.715 0.285 0.513
0.953 0.047 0.239
0.962 0.541 0.792
0.064 0.282 0.698
0.282 0.064 0.198
0.390 0.610 0.582
0.610 0.390 0.082
0.718 0.936 0.698
0.936 0.718 0.198

***

Which structure wins on stability? #Q wins.

***

#P
Pm6Ho2Er, optimized geometry, DFT PBE; crystal system = monoclinic; symmetry = C2/c, No. 15; DOS at the Fermi energy = 12.4 states/eV/f.u.
1.0
8.178 -5.886 0.000
8.178 5.886 0.000
-0.652 0.000 6.182
Pm Ho Er
12 4 2
Direct
0.094 0.812 0.986
0.146 0.427 0.153
0.188 0.906 0.514
0.240 0.522 0.680
0.427 0.146 0.653
0.478 0.760 0.820
0.522 0.240 0.180
0.573 0.854 0.347
0.760 0.478 0.320
0.812 0.094 0.486
0.854 0.573 0.847
0.906 0.188 0.014
0.068 0.266 0.583
0.266 0.068 0.083
0.734 0.932 0.917
0.932 0.734 0.417
0.401 0.599 0.250
0.599 0.401 0.750

***

#Q
Pm6Ho2Er, optimized geometry, DFT PBE; crystal system = orthorhombic; symmetry = Cmmm, No. 65; DOS at the Fermi energy = 12.2 states/eV/f.u.
1.0
4.683 -8.804 0.000
4.683 8.804 0.000
0.000 0.000 3.648
Pm Ho Er
6 2 1
Direct
0.011 0.341 0.000
0.185 0.185 0.500
0.341 0.011 0.000
0.659 0.989 0.000
0.815 0.815 0.500
0.989 0.659 0.000
0.323 0.677 0.500
0.677 0.323 0.500
0.500 0.500 0.000

***

Which structure wins on stability? #P wins.

***

#P
Pm2HoEr3, optimized geometry, DFT PBE; crystal system = monoclinic; symmetry = C2/m, No. 12; DOS at the Fermi energy = 9.4 states/eV/f.u.
1.0
8.317 -2.815 0.000
8.317 2.815 0.000
-5.235 0.000 8.212
Pm Ho Er
4 2 6
Direct
0.107 0.107 0.058
0.354 0.354 0.347
0.646 0.646 0.653
0.893 0.893 0.942
0.047 0.047 0.684
0.953 0.953 0.316
0.192 0.192 0.493
0.286 0.286 0.935
0.451 0.451 0.784
0.549 0.549 0.216
0.714 0.714 0.065
0.808 0.808 0.507

***

#Q
Pm2HoEr3, optimized geometry, DFT PBE; crystal system = monoclinic; symmetry = C2/m, No. 12; DOS at the Fermi energy = 9.6 states/eV/f.u.
1.0
8.866 -1.746 0.000
8.866 1.746 0.000
-6.491 0.000 12.567
Pm Ho Er
4 2 6
Direct
0.156 0.156 0.469
0.320 0.320 0.119
0.680 0.680 0.881
0.844 0.844 0.531
0.063 0.063 0.643
0.937 0.937 0.357
0.098 0.098 0.026
0.238 0.238 0.292
0.461 0.461 0.790
0.539 0.539 0.210
0.762 0.762 0.708
0.902 0.902 0.974

***

Which structure wins on stability? #P wins.

***

#P
Pm7Ho3Er, optimized geometry, DFT PBE; crystal system = monoclinic; symmetry = C2/m, No. 12; DOS at the Fermi energy = 14.9 states/eV/f.u.
1.0
6.379 -5.650 0.000
6.379 5.650 0.000
-2.698 0.000 5.217
Pm Ho Er
7 3 1
Direct
0.000 0.000 0.000
0.097 0.517 0.308
0.291 0.291 0.793
0.483 0.903 0.692
0.517 0.097 0.308
0.709 0.709 0.207
0.903 0.483 0.692
0.295 0.705 0.000
0.500 0.500 0.500
0.705 0.295 0.000
0.000 0.000 0.500

***

#Q
Pm7Ho3Er, optimized geometry, DFT PBE; crystal system = monoclinic; symmetry = P2/m, No. 10; DOS at the Fermi energy = 15.5 states/eV/f.u.
1.0
7.065 0.000 0.000
0.000 5.629 0.000
-3.525 0.000 9.367
Pm Ho Er
7 3 1
Direct
0.000 0.000 0.000
0.145 0.500 0.292
0.321 0.500 0.639
0.414 0.000 0.829
0.586 0.000 0.171
0.679 0.500 0.361
0.855 0.500 0.708
0.000 0.000 0.500
0.280 0.500 0.000
0.720 0.500 0.000
0.500 0.000 0.500

***

Which structure wins on stability? #Q wins.

***

#P
Pm5Ho2Er2, optimized geometry, DFT PBE; crystal system = orthorhombic; symmetry = Ima2, No. 46; DOS at the Fermi energy = 11.7 states/eV/f.u.
1.0
-7.530 6.416 3.094
7.530 -6.416 3.094
7.530 6.416 -3.094
Pm Ho Er
10 4 4
Direct
0.154 0.483 0.959
0.154 0.695 0.171
0.200 0.049 0.249
0.200 0.451 0.651
0.525 0.195 0.041
0.525 0.983 0.829
0.571 0.499 0.573
0.800 0.549 0.349
0.800 0.951 0.751
0.926 0.999 0.427
0.219 0.025 0.695
0.330 0.525 0.305
0.405 0.405 0.000
0.405 0.905 0.500
0.795 0.209 0.316
0.795 0.979 0.086
0.893 0.479 0.684
0.893 0.709 0.914

***

#Q
Pm5Ho2Er2, optimized geometry, DFT PBE; crystal system = monoclinic; symmetry = C2/m, No. 12; DOS at the Fermi energy = 12.5 states/eV/f.u.
1.0
5.683 -2.540 0.000
5.683 2.540 0.000
-3.406 0.000 10.203
Pm Ho Er
5 2 2
Direct
0.000 0.000 0.000
0.334 0.334 0.445
0.335 0.335 0.112
0.665 0.665 0.888
0.666 0.666 0.555
0.000 0.000 0.333
0.000 0.000 0.667
0.332 0.332 0.776
0.668 0.668 0.224

***

Which structure wins on stability? #Q wins.

***

#P
Pm5HoEr2, optimized geometry, DFT PBE; crystal system = monoclinic; symmetry = C2/c, No. 15; DOS at the Fermi energy = 10.9 states/eV/f.u.
1.0
3.212 -12.801 0.000
3.212 12.801 0.000
-0.654 0.000 6.526
Pm Ho Er
10 2 4
Direct
0.124 0.876 0.750
0.127 0.497 0.002
0.160 0.355 0.684
0.355 0.160 0.184
0.497 0.127 0.502
0.503 0.873 0.498
0.645 0.840 0.816
0.840 0.645 0.316
0.873 0.503 0.998
0.876 0.124 0.250
0.454 0.546 0.250
0.546 0.454 0.750
0.000 0.000 0.000
0.000 0.000 0.500
0.000 0.500 0.500
0.500 0.000 0.000

***

#Q
Pm5HoEr2, optimized geometry, DFT PBE; crystal system = orthorhombic; symmetry = Pbam, No. 55; DOS at the Fermi energy = 11.5 states/eV/f.u.
1.0
7.193 0.000 0.000
0.000 14.388 0.000
0.000 0.000 5.085
Pm Ho Er
10 2 4
Direct
0.000 0.000 0.000
0.001 0.251 0.000
0.249 0.624 0.500
0.251 0.124 0.500
0.499 0.751 0.000
0.500 0.500 0.000
0.501 0.249 0.000
0.749 0.876 0.500
0.751 0.376 0.500
0.999 0.749 0.000
0.000 0.500 0.000
0.500 0.000 0.000
0.250 0.376 0.500
0.250 0.876 0.500
0.750 0.124 0.500
0.750 0.624 0.500

***

Which structure wins on stability? #Q wins.

***

#P
PmHo4Er7, optimized geometry, DFT PBE; crystal system = triclinic; symmetry = P-1, No. 2; DOS at the Fermi energy = 19.6 states/eV/f.u.
1.0
6.650 0.000 0.000
1.555 6.749 0.000
2.029 1.039 8.370
Pm Ho Er
1 4 7
Direct
0.000 0.000 0.000
0.188 0.603 0.337
0.343 0.235 0.684
0.657 0.765 0.316
0.812 0.397 0.663
0.000 0.500 0.000
0.185 0.103 0.370
0.321 0.739 0.668
0.481 0.252 0.027
0.519 0.748 0.973
0.679 0.261 0.332
0.815 0.897 0.630

***

#Q
PmHo4Er7, optimized geometry, DFT PBE; crystal system = monoclinic; symmetry = C2/m, No. 12; DOS at the Fermi energy = 20.7 states/eV/f.u.
1.0
5.997 -2.904 0.000
5.997 2.904 0.000
-5.886 0.000 11.082
Pm Ho Er
1 4 7
Direct
0.000 0.000 0.000
0.249 0.249 0.683
0.367 0.367 0.226
0.633 0.633 0.774
0.751 0.751 0.317
0.059 0.059 0.328
0.211 0.211 0.923
0.365 0.365 0.497
0.500 0.500 0.000
0.635 0.635 0.503
0.789 0.789 0.077
0.941 0.941 0.672

***

Which structure wins on stability? #P wins.